No. 1
Sr3MgGa3 | PBE | relaxed

Unit cell a=4.445 b=11.361 c=11.361 alpha=120.00 beta=90.00 gamma=90.00
Element x y z (fractional)
Ga: 0.250 0.513 0.060
Ga: 0.250 0.940 0.453
Ga: 0.750 0.060 0.547
Ga: 0.750 0.487 0.940
Ga: 0.750 0.453 0.513
Ga: 0.250 0.547 0.487
Sr: 0.250 0.199 0.391
Sr: 0.750 0.808 0.199
Sr: 0.250 0.192 0.801
Sr: 0.750 0.801 0.609
Sr: 0.750 0.391 0.192
Sr: 0.250 0.609 0.808
Mg: 0.750 0.333 0.667
Mg: 0.250 0.667 0.333

Computed properties:
Energy of formation from the pure elements ... -274 meV/atom
Symmetry ... P6_3/m, No. 176
Calculated density ... 3.32 g/cm3
Crystal system ... hexagonal
Offset from the most stable computed form ... 59 meV per atom
Final energy ... -35.3 eV per cell

No. 2
SrMg4Ga4 | PBE | relaxed

Unit cell a=6.732 b=6.732 c=9.222 alpha=90.00 beta=90.00 gamma=90.00
Element x y z (fractional)
Mg: 0.252 0.000 0.613
Mg: 0.000 0.252 0.387
Mg: 0.500 0.248 0.113
Mg: 0.748 0.000 0.613
Mg: 0.752 0.500 0.887
Mg: 0.248 0.500 0.887
Mg: 0.000 0.748 0.387
Mg: 0.500 0.752 0.113
Sr: 0.000 0.000 0.000
Sr: 0.500 0.500 0.500
Ga: 0.000 0.309 0.686
Ga: 0.309 0.000 0.314
Ga: 0.000 0.691 0.686
Ga: 0.809 0.500 0.186
Ga: 0.691 0.000 0.314
Ga: 0.500 0.809 0.814
Ga: 0.191 0.500 0.186
Ga: 0.500 0.191 0.814

Computed properties:
Energy of formation from the pure elements ... -198 meV/atom
Symmetry ... P4_2/nmc, No. 137
Calculated density ... 3.68 g/cm3
Crystal system ... tetragonal
Final energy ... -43.9 eV per cell

No. 3
SrMg5Ga2 | PBE | relaxed

Unit cell a=4.476 b=7.054 c=7.054 alpha=71.73 beta=71.51 gamma=71.51
Element x y z (fractional)
Mg: 0.000 0.500 0.500
Mg: 0.343 0.839 0.474
Mg: 0.343 0.474 0.839
Mg: 0.657 0.526 0.161
Mg: 0.657 0.161 0.526
Ga: 0.261 0.239 0.239
Ga: 0.739 0.761 0.761
Sr: 0.000 0.000 0.000

Computed properties:
Energy of formation from the pure elements ... -213 meV/atom
Symmetry ... Immm, No. 71
Calculated density ... 2.97 g/cm3
Crystal system ... orthorhombic
Final energy ... -17.4 eV per cell

No. 4
SrMgGa2 | PBE | relaxed

Unit cell a=4.340 b=8.321 c=11.243 alpha=90.00 beta=90.00 gamma=90.00
Element x y z (fractional)
Ga: 0.750 0.268 0.073
Ga: 0.250 0.169 0.173
Ga: 0.750 0.331 0.673
Ga: 0.250 0.232 0.573
Ga: 0.250 0.732 0.927
Ga: 0.750 0.831 0.827
Ga: 0.750 0.768 0.427
Ga: 0.250 0.669 0.327
Mg: 0.250 0.999 0.390
Mg: 0.750 0.001 0.610
Mg: 0.750 0.501 0.890
Mg: 0.250 0.499 0.110
Sr: 0.250 0.135 0.866
Sr: 0.750 0.865 0.134
Sr: 0.250 0.635 0.634
Sr: 0.750 0.365 0.366

Computed properties:
Energy of formation from the pure elements ... -380 meV/atom
Symmetry ... Pnma, No. 62
Calculated density ... 4.11 g/cm3
Crystal system ... orthorhombic
Final energy ... -43.4 eV per cell

No. 5
Sr3Mg7Ga4 | PBE | relaxed

Unit cell a=4.658 b=9.062 c=9.352 alpha=72.14 beta=75.58 gamma=75.11
Element x y z (fractional)
Ga: 0.662 0.445 0.230
Ga: 0.884 0.903 0.330
Ga: 0.116 0.097 0.670
Ga: 0.338 0.555 0.770
Mg: 0.000 0.000 0.000
Mg: 0.678 0.160 0.484
Mg: 0.509 0.775 0.207
Mg: 0.491 0.225 0.793
Mg: 0.163 0.595 0.078
Mg: 0.837 0.405 0.922
Mg: 0.322 0.840 0.516
Sr: 0.000 0.500 0.500
Sr: 0.695 0.813 0.796
Sr: 0.305 0.187 0.204

Computed properties:
Energy of formation from the pure elements ... -264 meV/atom
Symmetry ... C2/m, No. 12
Calculated density ... 3.31 g/cm3
Crystal system ... monoclinic
Final energy ... -32.0 eV per cell

No. 6
Sr2Mg2Ga | PBE | relaxed

Unit cell a=7.194 b=6.781 c=8.031 alpha=106.75 beta=90.00 gamma=122.04
Element x y z (fractional)
Sr: 0.417 0.667 0.359
Sr: 0.583 0.333 0.641
Sr: 0.250 0.667 0.859
Sr: 0.750 0.333 0.141
Ga: 0.213 0.000 0.250
Ga: 0.787 0.000 0.750
Mg: 0.788 0.822 0.047
Mg: 0.966 0.178 0.453
Mg: 0.034 0.822 0.547
Mg: 0.212 0.178 0.953

Computed properties:
Energy of formation from the pure elements ... -191 meV/atom
Symmetry ... C2/c, No. 15
Calculated density ... 3.12 g/cm3
Crystal system ... monoclinic
Offset from the most stable computed form ... 0 meV per atom
Final energy ... -21.1 eV per cell

No. 7
SrMgGa2 | PBE | relaxed

Unit cell a=5.000 b=5.000 c=9.997 alpha=75.52 beta=75.52 gamma=90.00
Element x y z (fractional)
Ga: 0.875 0.714 0.750
Ga: 0.375 0.536 0.750
Ga: 0.286 0.625 0.250
Ga: 0.464 0.125 0.250
Sr: 0.000 0.000 0.000
Sr: 0.750 0.250 0.500
Mg: 0.500 0.500 0.000
Mg: 0.250 0.750 0.500

Computed properties:
Energy of formation from the pure elements ... -91 meV/atom
Symmetry ... I-42d, No. 122
Calculated density ... 3.57 g/cm3
Crystal system ... tetragonal
Final energy ... -19.4 eV per cell

No. 8
SrMgGa | PBE | relaxed

Unit cell a=5.098 b=5.098 c=5.098 alpha=60.00 beta=60.00 gamma=60.00
Site moments in Bohr magnetons follow the coordinates.
Element x y z (fractional)
Ga: 0.250 0.250 0.250  0.24
Mg: 0.500 0.500 0.500  0.02
Sr: 0.000 0.000 0.000  0.09

Computed properties:
Energy of formation from the pure elements ... -135 meV/atom
Symmetry ... F-43m, No. 216
Calculated density ... 3.22 g/cm3
Crystal system ... cubic
Final energy ... -6.7 eV per cell

No. 9
Sr2MgGa | PBE | relaxed

Unit cell a=9.051 b=9.051 c=7.371 alpha=52.13 beta=52.13 gamma=90.00
Element x y z (fractional)
Ga: 0.000 0.000 0.000
Ga: 0.750 0.250 0.500
Sr: 0.375 0.342 0.750
Sr: 0.092 0.625 0.250
Sr: 0.875 0.908 0.750
Sr: 0.658 0.125 0.250
Mg: 0.500 0.500 0.000
Mg: 0.250 0.750 0.500

Computed properties:
Energy of formation from the pure elements ... 94 meV/atom
Symmetry ... I-42d, No. 122
Calculated density ... 2.98 g/cm3
Crystal system ... tetragonal
Final energy ... -15.2 eV per cell

No. 10
Sr8Mg2Ga | PBE | relaxed

Unit cell a=5.956 b=8.140 c=10.785 alpha=108.39 beta=106.03 gamma=90.00
Element x y z (fractional)
Mg: 0.821 0.293 0.641
Mg: 0.179 0.707 0.359
Ga: 0.500 0.000 0.000
Sr: 0.408 0.570 0.816
Sr: 0.977 0.208 0.954
Sr: 0.656 0.959 0.313
Sr: 0.344 0.041 0.687
Sr: 0.023 0.792 0.046
Sr: 0.592 0.430 0.184
Sr: 0.796 0.700 0.592
Sr: 0.204 0.300 0.408

Computed properties:
Energy of formation from the pure elements ... -63 meV/atom
Symmetry ... C2/m, No. 12
Calculated density ... 2.87 g/cm3
Crystal system ... monoclinic
Final energy ... -20.4 eV per cell

No. 11
Sr2MgGa | PBE | relaxed

Unit cell a=4.009 b=4.009 c=11.878 alpha=80.29 beta=80.29 gamma=60.00
Element x y z (fractional)
Sr: 0.897 0.897 0.308
Sr: 0.103 0.103 0.692
Ga: 0.500 0.500 0.500
Mg: 0.000 0.000 0.000

Computed properties:
Energy of formation from the pure elements ... 126 meV/atom
Symmetry ... R-3m, No. 166
Calculated density ... 2.76 g/cm3
Crystal system ... trigonal
Final energy ... -7.5 eV per cell

No. 12
Sr2Mg6Ga3 | PBE | relaxed

Unit cell a=4.457 b=8.618 c=8.618 alpha=120.00 beta=90.00 gamma=90.00
Element x y z (fractional)
Mg: 0.500 0.291 0.000
Mg: 0.500 0.709 0.709
Mg: 0.000 0.203 0.203
Mg: 0.000 0.797 0.000
Mg: 0.000 0.000 0.797
Mg: 0.500 0.000 0.291
Sr: 0.000 0.667 0.333
Sr: 0.000 0.333 0.667
Ga: 0.500 0.000 0.616
Ga: 0.500 0.616 0.000
Ga: 0.500 0.384 0.384

Computed properties:
Energy of formation from the pure elements ... -201 meV/atom
Symmetry ... P-62m, No. 189
Calculated density ... 3.07 g/cm3
Crystal system ... hexagonal
Final energy ... -24.2 eV per cell